1.
! LiHoSeO | the Alexandria database | GGA-PBE | relaxed; values from VASP
! SG: P4/nmm (129)
! E_tot: -0.2255 hartree per atom
! E_form (uncorrected): -2.402 eV/atom
&SYSTEM
  ibrav = 0, nat = 8, ntyp = 4
/
ATOMIC_SPECIES
Li 6.94 Li.upf
Ho 164.93 Ho.upf
Se 78.96 Se.upf
O 16.00 O.upf
ATOMIC_POSITIONS angstrom
Li 0.975 2.924 0.000
Li 2.924 0.975 0.000
Ho 0.975 0.975 3.369
Ho 2.924 2.924 5.564
Se 0.975 0.975 7.311
Se 2.924 2.924 1.622
O 0.975 2.924 4.467
O 2.924 0.975 4.467
CELL_PARAMETERS angstrom
3.899 0.000 0.000
0.000 3.899 0.000
0.000 0.000 8.933

***

2.
! Li2HoSnO4 | the Alexandria database | GGA-PBE | relaxed; values from VASP
! SG: I-4m2 (119)
! E_tot: -0.2293 hartree per atom
! E_form (uncorrected): -2.210 eV/atom
&SYSTEM
  ibrav = 0, nat = 8, ntyp = 4
/
ATOMIC_SPECIES
Li 6.94 Li.upf
Ho 164.93 Ho.upf
Sn 118.71 Sn.upf
O 16.00 O.upf
ATOMIC_POSITIONS angstrom
Li 0.000 0.000 0.000
Li 0.000 2.236 2.502
Ho 2.236 0.000 2.502
Sn 0.000 0.000 5.005
O 2.236 0.000 0.174
O 0.000 0.000 2.668
O 2.236 0.000 4.831
O 0.000 0.000 7.341
CELL_PARAMETERS angstrom
-2.236 2.236 5.005
2.236 -2.236 5.005
2.236 2.236 -5.005